# 1
Entry from the Alexandria database: a relaxed TaZnCSe2 crystal (PBE-GGA).

Structure (POSCAR):
```
TaZnCSe2
1.0
5.131 0.000 0.000
0.000 5.131 0.000
0.000 0.000 4.080
Ta Zn C Se
1 1 1 2
Direct
0.000 0.000 0.000
0.500 0.500 0.500
0.000 0.000 0.500
0.000 0.500 0.000
0.500 0.000 0.000
```

Values from the calculation:
The electronic total energy is -26.4 eV/cell.

# 2
Entry from the Alexandria database: a relaxed Tb4CSe3 crystal (PBE-GGA).

Structure (POSCAR):
```
Tb4CSe3
1.0
4.069 -5.673 0.000
4.069 5.673 0.000
0.000 0.000 3.922
Tb C Se
4 1 3
Direct
0.212 0.212 0.500
0.223 0.777 0.000
0.777 0.223 0.000
0.788 0.788 0.500
0.000 0.000 0.000
0.000 0.500 0.500
0.500 0.000 0.500
0.500 0.500 0.000
```

Values from the calculation:
The calculation puts the distance to the lowest polymorph of the same formula at 0 meV per atom.

# 3
Entry from the Alexandria database: a relaxed Tb3CSe3 crystal (PBE-GGA).

Structure (POSCAR):
```
Tb3CSe3
1.0
3.945 -6.192 0.000
3.945 6.192 0.000
-1.180 0.000 7.051
Tb C Se
6 2 6
Direct
0.100 0.100 0.307
0.141 0.443 0.767
0.443 0.141 0.767
0.557 0.859 0.233
0.859 0.557 0.233
0.900 0.900 0.693
0.168 0.168 0.636
0.832 0.832 0.364
0.171 0.829 0.000
0.265 0.735 0.500
0.411 0.411 0.135
0.589 0.589 0.865
0.735 0.265 0.500
0.829 0.171 0.000
```

Values from the calculation:
The electronic total energy is -84.1 eV/cell.

# 4
Entry from the Alexandria database: a relaxed Tb6C3Se2 crystal (PBE-GGA).

Structure (POSCAR):
```
Tb6C3Se2
1.0
3.226 -5.588 0.000
3.226 5.588 0.000
-2.167 0.000 6.676
Tb C Se
6 3 2
Direct
0.063 0.401 0.201
0.263 0.263 0.803
0.401 0.063 0.201
0.599 0.937 0.799
0.737 0.737 0.197
0.937 0.599 0.799
0.000 0.000 0.000
0.330 0.670 0.000
0.670 0.330 0.000
0.166 0.834 0.500
0.834 0.166 0.500
```

Values from the calculation:
The electronic total energy is -72.5 eV/cell.

# 5
Entry from the Alexandria database: a relaxed Tb8CSe6 crystal (PBE-GGA).

Structure (POSCAR):
```
Tb8CSe6
1.0
8.433 0.000 0.000
-4.217 7.304 0.000
0.000 0.000 5.855
Tb C Se
8 1 6
Direct
0.000 0.242 0.257
0.000 0.758 0.743
0.242 0.000 0.257
0.242 0.242 0.743
0.333 0.667 0.500
0.667 0.333 0.500
0.758 0.000 0.743
0.758 0.758 0.257
0.000 0.000 0.500
0.000 0.393 0.748
0.000 0.607 0.252
0.393 0.000 0.748
0.393 0.393 0.252
0.607 0.000 0.252
0.607 0.607 0.748
```

Values from the calculation:
The electronic total energy is -87.4 eV/cell.

# 6
Entry from the Alexandria database: a relaxed Tb2C2Se crystal (PBE-GGA).

Structure (POSCAR):
```
Tb2C2Se
1.0
6.825 -2.024 0.000
6.825 2.024 0.000
-1.531 0.000 6.740
Tb C Se
4 4 2
Direct
0.039 0.673 0.860
0.327 0.961 0.640
0.673 0.039 0.360
0.961 0.327 0.140
0.146 0.400 0.465
0.400 0.146 0.965
0.600 0.854 0.035
0.854 0.600 0.535
0.293 0.707 0.250
0.707 0.293 0.750
```

Values from the calculation:
The electronic total energy is -71.4 eV/cell.

# 7
Entry from the Alexandria database: a relaxed Tb4CSe3 crystal (PBE-GGA).

Structure (POSCAR):
```
Tb4CSe3
1.0
8.930 0.000 0.000
0.000 8.588 0.000
0.000 0.000 5.671
Tb C Se
8 2 6
Direct
0.000 0.086 0.000
0.000 0.818 0.522
0.225 0.685 0.004
0.275 0.315 0.504
0.500 0.182 0.022
0.500 0.914 0.500
0.725 0.315 0.504
0.775 0.685 0.004
0.000 0.815 0.958
0.500 0.185 0.458
0.000 0.139 0.504
0.224 0.345 0.007
0.276 0.655 0.507
0.500 0.861 0.004
0.724 0.655 0.507
0.776 0.345 0.007
```

Values from the calculation:
The calculation puts the distance to the lowest polymorph of the same formula at 230 meV per atom.

# 8
Entry from the Alexandria database: a relaxed Tb4C2Se5 crystal (PBE-GGA).

Structure (POSCAR):
```
Tb4C2Se5
1.0
9.263 -2.031 0.000
9.263 2.031 0.000
-2.492 0.000 7.620
Tb C Se
4 2 5
Direct
0.001 0.001 0.253
0.320 0.320 0.379
0.680 0.680 0.621
0.999 0.999 0.747
0.464 0.464 0.490
0.536 0.536 0.510
0.155 0.155 0.840
0.162 0.162 0.353
0.500 0.500 0.000
0.838 0.838 0.647
0.845 0.845 0.160
```

Values from the calculation:
The electronic total energy is -68.4 eV/cell.

# 9
Entry from the Alexandria database: a relaxed Tb6TeC3Se2 crystal (PBE-GGA).

Structure (POSCAR):
```
Tb6TeC3Se2
1.0
8.729 -1.908 0.000
8.729 1.908 0.000
-2.462 0.000 7.687
Tb Te C Se
6 1 3 2
Direct
0.012 0.012 0.215
0.319 0.319 0.442
0.342 0.342 0.891
0.658 0.658 0.109
0.681 0.681 0.558
0.988 0.988 0.785
0.500 0.500 0.500
0.168 0.168 0.331
0.500 0.500 0.000
0.832 0.832 0.669
0.166 0.166 0.833
0.834 0.834 0.167
```

Values from the calculation:
The electronic total energy is -78.0 eV/cell.

# 10
Entry from the Alexandria database: a relaxed Tb4TeCSe2 crystal (PBE-GGA).

Structure (POSCAR):
```
Tb4TeCSe2
1.0
7.012 0.000 0.000
0.000 3.991 0.000
-2.412 0.000 6.884
Tb Te C Se
4 1 1 2
Direct
0.217 0.000 0.207
0.230 0.500 0.797
0.770 0.500 0.203
0.783 0.000 0.793
0.000 0.000 0.500
0.000 0.500 0.000
0.500 0.000 0.000
0.500 0.500 0.500
```

Values from the calculation:
The electronic total energy is -48.3 eV/cell.

# 11
Entry from the Alexandria database: a relaxed Tb4Te2CSe crystal (PBE-GGA).

Structure (POSCAR):
```
Tb4Te2CSe
1.0
7.110 0.000 0.000
0.000 4.012 0.000
-2.309 0.000 7.009
Tb Te C Se
4 2 1 1
Direct
0.206 0.000 0.196
0.229 0.500 0.797
0.771 0.500 0.203
0.794 0.000 0.804
0.000 0.000 0.500
0.500 0.500 0.500
0.000 0.500 0.000
0.500 0.000 0.000
```

Values from the calculation:
The electronic total energy is -47.5 eV/cell.

# 12
Entry from the Alexandria database: a relaxed Tb6Te3CSe2 crystal (PBE-GGA).

Structure (POSCAR):
```
Tb6Te3CSe2
1.0
3.576 -6.172 0.000
3.576 6.172 0.000
-2.361 0.000 6.973
Tb Te C Se
6 3 1 2
Direct
0.067 0.364 0.202
0.226 0.226 0.789
0.364 0.067 0.202
0.636 0.933 0.798
0.774 0.774 0.211
0.933 0.636 0.798
0.177 0.823 0.500
0.500 0.500 0.500
0.823 0.177 0.500
0.000 0.000 0.000
0.335 0.665 0.000
0.665 0.335 0.000
```

Values from the calculation:
The electronic total energy is -69.9 eV/cell.

- Which formula does entry 6 have?
  Tb2C2Se